{
  "formula": "Tl2Sn2Se",
  "functional": "PBE",
  "state": "relaxed",
  "polymorph_energy_ev_per_fu": 0.880,
  "e_form_raw_ev_per_atom": 0.150,
  "total_energy_ev_per_atom": -3.094,
  "cell": [[8.382, 0.000, 0.000], [0.000, 8.382, 0.000], [0.000, 0.000, 4.224]],
  "species": ["Tl", "Tl", "Tl", "Tl", "Sn", "Sn", "Sn", "Sn", "Se", "Se"],
  "fractional_positions": [[0.673, 0.173, 0.000], [0.827, 0.673, 0.000], [0.327, 0.827, 0.000], [0.173, 0.327, 0.000], [0.872, 0.372, 0.500], [0.628, 0.872, 0.500], [0.128, 0.628, 0.500], [0.372, 0.128, 0.500], [0.000, 0.000, 0.000], [0.500, 0.500, 0.000]]
}